BaSn2Ir2, optimized geometry, DFT GGA-PBE; magnetic moment = 0.00 μB per formula unit; formation energy from the elements = -0.3817 eV per atom; E_tot = -5.9118 eV/atom
1.0
-5.636 -2.765 -1.671
0.014 -4.937 -4.501
-2.062 -5.968 4.171
Sn Ba Ir
4 2 4
Cartesian
-4.005 -8.772 -0.413 Sn
-1.571 -2.627 0.171 Sn
-6.113 -11.043 -2.172 Sn
-3.678 -4.898 -1.588 Sn
-5.435 -7.616 -3.798 Ba
-2.249 -6.054 1.796 Ba
-2.461 -7.231 -1.865 Ir
-4.906 -8.438 2.052 Ir
-5.222 -6.439 -0.136 Ir
-2.778 -5.232 -4.053 Ir

AlCuSn2, optimized geometry, DFT GGA-PBE; magnetic moment = 0.00 μB per formula unit; formation energy from the elements = 0.1291 eV per atom; E_tot = -3.8320 eV/atom
1.0
8.997 0.000 0.000
0.000 8.997 0.000
4.498 4.498 2.332
Sn Al Cu
4 2 2
Cartesian
6.748 5.788 1.749 Sn
11.246 12.206 1.749 Sn
1.289 6.748 0.583 Sn
7.708 2.249 0.583 Sn
4.498 4.498 0.000 Al
4.498 8.997 1.166 Al
8.997 4.498 1.166 Cu
0.000 0.000 0.000 Cu

PIr3, optimized geometry, DFT GGA-PBE; magnetic moment = 0.00 μB per formula unit; formation energy from the elements = 0.1857 eV per atom; offset from the most stable computed form = 0.2113 eV/atom; E_tot = -7.8125 eV/atom
1.0
-1.974 1.991 0.290
-2.333 -1.846 -3.204
-2.238 -2.681 3.174
Ir P
3 1
Cartesian
-4.078 -2.232 1.272 Ir
-2.138 -0.383 1.777 Ir
-0.018 -0.021 0.025 Ir
-1.803 -1.686 -0.698 P

Mg2TaTl3S6, optimized geometry, DFT GGA-PBE; formation energy from raw total energies = -0.867 eV/atom; magnetic moment = 0.00 μB per formula unit; E_tot = -4.7759 eV/atom
1.0
6.527 0.003 0.008
-3.259 5.654 0.008
-1.081 -1.871 7.431
Mg S Tl Ta
2 6 3 1
Cartesian
0.007 3.768 0.008 Mg
3.260 1.889 0.008 Mg
-0.055 -0.095 6.011 S
-1.019 1.786 1.380 S
0.130 3.776 6.067 S
2.241 3.881 1.436 S
2.056 0.010 1.380 S
3.206 2.000 6.067 S
4.320 0.029 3.724 Tl
1.093 1.893 3.724 Tl
-2.134 3.757 3.724 Tl
0.000 0.000 0.000 Ta

Li2AgSnCl6, optimized geometry, DFT GGA-PBE; formation energy from raw total energies = -1.120 eV/atom; magnetic moment = 0.00 μB per formula unit; E_tot = -3.2961 eV/atom
1.0
-2.551 -2.032 6.179
-6.121 -5.503 -2.995
4.635 -7.387 0.826
Cl Li Ag Sn
12 4 2 2
Cartesian
0.447 -6.718 3.831 Cl
-3.438 -4.799 -1.091 Cl
-2.350 -11.586 -1.547 Cl
-1.043 -9.408 1.194 Cl
-0.600 -10.123 5.100 Cl
-1.687 -3.335 5.556 Cl
-1.917 -2.056 1.932 Cl
-2.994 -5.513 2.815 Cl
-4.485 -8.203 0.177 Cl
-4.096 -10.112 3.651 Cl
-2.120 -12.866 2.077 Cl
0.059 -4.809 0.358 Cl
-1.603 -5.710 4.689 Li
-1.872 -10.549 3.062 Li
-2.165 -4.372 0.947 Li
-2.435 -9.212 -0.680 Li
-4.054 -7.724 3.053 Ag
0.016 -7.198 0.956 Ag
-5.545 -6.224 -1.020 Sn
1.508 -8.698 5.028 Sn

SbHIO2, optimized geometry, DFT GGA-PBE; magnetic moment = 0.21 μB per formula unit; offset from the most stable computed form = 0.7296 eV/atom; E_tot = -3.9026 eV/atom
1.0
-2.620 -2.291 -1.786
1.803 0.604 -3.419
3.716 -5.079 1.062
O H I Sb
2 1 1 1
Cartesian
-1.310 -1.145 -0.893 O
0.901 0.302 -1.710 O
1.449 -3.383 -2.072 H
1.858 -2.539 0.531 I
0.000 0.000 0.000 Sb

HfGaTe, optimized geometry, DFT GGA-PBE; formation energy from raw total energies = 0.035 eV/atom; magnetic moment = 0.00 μB per formula unit; offset from the most stable computed form = 0.5990 eV/atom; E_tot = -5.3392 eV/atom
1.0
3.751 0.000 0.000
0.000 5.423 0.000
0.000 2.712 9.203
Te Hf Ga
2 2 2
Cartesian
2.813 5.423 5.853 Te
0.938 2.712 3.350 Te
2.813 2.712 1.338 Hf
0.938 5.423 7.865 Hf
0.938 2.712 8.210 Ga
2.813 5.423 0.993 Ga

BaSr2Pb, optimized geometry, DFT GGA-PBE; magnetic moment = 0.00 μB per formula unit; formation energy from the elements = -0.0508 eV per atom; E_tot = -2.2995 eV/atom
1.0
5.353 0.000 0.000
0.000 5.353 0.000
2.677 2.677 12.858
Sr Ba Pb
4 2 2
Cartesian
1.200 4.015 3.215 Sr
4.153 1.338 3.215 Sr
4.015 3.877 9.644 Sr
6.692 6.830 9.644 Sr
2.677 5.353 6.429 Ba
2.677 2.677 0.000 Ba
5.353 2.677 6.429 Pb
0.000 0.000 0.000 Pb